The following is a GGA-PBE calculation of an optimized crystal structure of CdRe2Tc, from Alexandria via LeMat-Bulk.

DOS(E_F) = 3.66 states/eV/cell
calculated density = 15.32 g cm⁻³
formation energy from the elements = 0.586 eV per atom
total energy = -8.4583 eV per atom

Unit cell a=4.8553 b=4.8553 c=4.8553 alpha=131.32 beta=131.32 gamma=71.30
Positions (direct):
Cd 0.7500 0.2500 0.5000
Re 0.0000 0.0000 0.0000
Re 0.2500 0.7500 0.5000
Tc 0.5000 0.5000 0.0000

***

The following is a GGA-PBE calculation of an optimized crystal structure of Cd2ReTc, from Alexandria via LeMat-Bulk.

DOS(E_F) = 3.44 states/eV/cell
energy above the lowest structure with this stoichiometry = 457 meV per atom
calculated density = 12.31 g cm⁻³
formation energy from the elements = 0.630 eV per atom
total energy = -5.5312 eV per atom

Unit cell a=3.2224 b=4.4295 c=4.8097 alpha=90.00 beta=90.00 gamma=90.00
Positions (direct):
Cd 0.0000 0.0000 0.0000
Cd 0.5000 0.5000 0.0000
Re 0.5000 0.0000 0.5000
Tc 0.0000 0.5000 0.5000

***

The following is a GGA-PBE calculation of an optimized crystal structure of Cd2ReTc, from Alexandria via LeMat-Bulk.

DOS(E_F) = 5.95 states/eV/cell
energy above the lowest structure with this stoichiometry = 1086 meV per atom
calculated density = 10.99 g cm⁻³
formation energy from the elements = 1.259 eV per atom
total energy = -4.9019 eV per atom

Unit cell a=7.6424 b=7.6424 c=6.0117 alpha=50.53 beta=50.53 gamma=90.00
Each line ends with the local moment (μB).
Positions (direct):
Re 0.0000 0.0000 0.0000  0.76
Re 0.7500 0.2500 0.5000  0.76
Tc 0.5000 0.5000 0.0000  1.04
Tc 0.2500 0.7500 0.5000  1.04
Cd 0.6248 0.1250 0.2500  -0.02
Cd 0.1252 0.6250 0.2500  -0.02
Cd 0.3750 0.3752 0.7500  -0.02
Cd 0.8750 0.8748 0.7500  -0.02

***

The following is a GGA-PBE calculation of an optimized crystal structure of CdRe2Tc, from Alexandria via LeMat-Bulk.

DOS(E_F) = 5.99 states/eV/cell
calculated density = 15.30 g cm⁻³
formation energy from the elements = 0.682 eV per atom
total energy = -8.3626 eV per atom

Unit cell a=4.1076 b=3.9237 c=3.9237 alpha=90.00 beta=90.00 gamma=90.00
Positions (direct):
Cd 0.5000 0.0000 0.5000
Re 0.0000 0.0000 0.0000
Re 0.0000 0.5000 0.5000
Tc 0.5000 0.5000 0.0000